# ScGaBr

Crystalline ScGaBr at its relaxed geometry (GGA-PBE, Alexandria via LeMat-Bulk).

Output
Calculated volume: 26.00 A^3/atom
Raw formation energy: -0.60 eV per atom
DOS at the Fermi energy: 2.747 states/eV per cell
Energy: -4.2752 eV per atom

a b c (Å): 4.5305 3.4155 10.0815
angles (deg): 90.00 90.46 90.00
Last column: nearest neighbours and their distance in Å.
Fractional coordinates of all 6 atoms:
Sc: 0.8561 0.0000 0.1105  3 Br 2.75-2.89, 4 Ga 2.88
Sc: 0.8561 0.5000 0.6105  3 Br 2.75-2.89, 4 Ga 2.88
Ga: 0.3568 0.0000 0.6606  4 Sc 2.88
Ga: 0.3568 0.5000 0.1606  4 Sc 2.88
Br: 0.8557 0.0000 0.3969  3 Sc 2.75-2.89
Br: 0.8557 0.5000 0.8969  3 Sc 2.75-2.89